# PBE-GGA Tc2HPt2, relaxed
data_Tc2HPt2
_chemical_formula_sum 'Tc4 H2 Pt4'
_symmetry_space_group_name_H-M 'P 4/m b m'
_symmetry_Int_Tables_number 127
_symmetry_space_group_name_Hall '-P 4 2ab'
_cell_length_a 7.6800
_cell_length_b 7.6800
_cell_length_c 2.7021
_cell_angle_alpha 90.00
_cell_angle_beta 90.00
_cell_angle_gamma 90.00
loop_
_atom_site_label
_atom_site_type_symbol
_atom_site_fract_x
_atom_site_fract_y
_atom_site_fract_z
_atom_site_occupancy
Tc1 Tc 0.1271 0.3729 0.0000 1
H1 H 0.0000 0.0000 0.0000 1
Pt1 Pt 0.1671 0.6671 0.5000 1
# D(E_F) (states/eV per atom): 0.666
# M_tot (μB per cell): 0.00
# Mass density (g/cm³): 12.24
# Energy (eV per atom): -6.507